# 1
# SrTmPt

An optimized crystal structure of SrTmPt (PBE, Alexandria).

Properties
energy above the lowest structure with this stoichiometry	0	meV/atom
spin magnetization	0.0	μB per formula unit
symmetry	P4/nmm

Lattice parameters (Å, degrees): 4.762 4.762 7.813 90.00 90.00 90.00
Fractional positions:
Sr (0.250, 0.250, 0.132)
Sr (0.750, 0.750, 0.868)
Tm (0.250, 0.750, 0.500)
Tm (0.750, 0.250, 0.500)
Pt (0.250, 0.250, 0.698)
Pt (0.750, 0.750, 0.302)

# 2
# Li7Hg2Pd

An optimized crystal structure of Li7Hg2Pd (PBE, Alexandria).

Properties
energy above the lowest structure with this stoichiometry	309	meV/atom
spin magnetization	0.0	μB per formula unit
symmetry	Fm-3m

Lattice parameters (Å, degrees): 6.774 6.774 6.774 60.00 60.00 60.00
Fractional positions:
Li (0.000, 0.000, 0.000)
Li (0.256, 0.256, 0.744)
Li (0.256, 0.744, 0.256)
Li (0.256, 0.744, 0.744)
Li (0.744, 0.256, 0.256)
Li (0.744, 0.256, 0.744)
Li (0.744, 0.744, 0.256)
Hg (0.250, 0.250, 0.250)
Hg (0.750, 0.750, 0.750)
Pd (0.500, 0.500, 0.500)

# 3
# Rb2Ni2S3

An optimized crystal structure of Rb2Ni2S3 (PBE, Alexandria).

Properties
spin magnetization	0.0	μB per formula unit
symmetry	C2/m
formation energy from raw total energies	-642	meV/atom

Lattice parameters (Å, degrees): 12.333 3.967 8.071 90.00 124.77 90.00
Fractional positions:
Rb (0.068, 0.000, 0.347)
Rb (0.432, 0.500, 0.653)
Rb (0.568, 0.500, 0.347)
Rb (0.932, 0.000, 0.653)
Ni (0.201, 0.500, 0.065)
Ni (0.299, 0.000, 0.935)
Ni (0.701, 0.000, 0.065)
Ni (0.799, 0.500, 0.935)
S (0.000, 0.500, 0.000)
S (0.209, 0.500, 0.793)
S (0.291, 0.000, 0.207)
S (0.500, 0.000, 0.000)
S (0.709, 0.000, 0.793)
S (0.791, 0.500, 0.207)

# 4
# Ac2Si2TcOs

An optimized crystal structure of Ac2Si2TcOs (PBE, Alexandria).

Properties
spin magnetization	0.0	μB per formula unit
symmetry	Ibam
formation energy from raw total energies	-528	meV/atom

Lattice parameters (Å, degrees): 8.636 8.636 8.636 138.17 60.59 138.23
Fractional positions:
Ac (0.156, 0.248, 0.404)
Ac (0.344, 0.748, 0.092)
Ac (0.656, 0.252, 0.908)
Ac (0.844, 0.752, 0.596)
Si (0.078, 0.748, 0.826)
Si (0.422, 0.248, 0.671)
Si (0.578, 0.752, 0.329)
Si (0.922, 0.252, 0.174)
Tc (0.250, 0.250, 0.000)
Tc (0.750, 0.750, 0.000)
Os (0.250, 0.750, 0.500)
Os (0.750, 0.250, 0.500)

# 5
# NdTm4Zn

An optimized crystal structure of NdTm4Zn (PBE, Alexandria).

Properties
total DFT energy (no corrections)	-4.082	eV per atom
spin magnetization	0.0	μB per formula unit
symmetry	P4/mmm

Lattice parameters (Å, degrees): 3.527 3.527 13.642 90.00 90.00 90.00
Fractional positions:
Nd (0.000, 0.000, 0.000)
Tm (0.000, 0.000, 0.372)
Tm (0.000, 0.000, 0.628)
Tm (0.500, 0.500, 0.188)
Tm (0.500, 0.500, 0.812)
Zn (0.500, 0.500, 0.500)

# 6
# UNiC

An optimized crystal structure of UNiC (PBE, Alexandria).

Properties
energy above the lowest structure with this stoichiometry	0	meV/atom
spin magnetization	0.6	μB per formula unit
symmetry	Pnma

Lattice parameters (Å, degrees): 5.883 3.739 7.452 90.00 90.00 90.00
Fractional positions:
U (0.167, 0.250, 0.163)
U (0.333, 0.750, 0.663)
U (0.667, 0.250, 0.337)
U (0.833, 0.750, 0.837)
Ni (0.021, 0.750, 0.394)
Ni (0.479, 0.250, 0.894)
Ni (0.521, 0.750, 0.106)
Ni (0.979, 0.250, 0.606)
C (0.123, 0.250, 0.849)
C (0.377, 0.750, 0.349)
C (0.623, 0.250, 0.651)
C (0.877, 0.750, 0.151)

What did the fifth record say?
# NdTm4Zn

An optimized crystal structure of NdTm4Zn (PBE, Alexandria).

Properties
total DFT energy (no corrections)	-4.082	eV per atom
spin magnetization	0.0	μB per formula unit
symmetry	P4/mmm

Lattice parameters (Å, degrees): 3.527 3.527 13.642 90.00 90.00 90.00
Fractional positions:
Nd (0.000, 0.000, 0.000)
Tm (0.000, 0.000, 0.372)
Tm (0.000, 0.000, 0.628)
Tm (0.500, 0.500, 0.188)
Tm (0.500, 0.500, 0.812)
Zn (0.500, 0.500, 0.500)

- What is the spin magnetization in the fourth record?
  0.0 μB per formula unit

- spin magnetization of number 2 (Li7Hg2Pd)?
  0.0 μB per formula unit